# 1
Here is a relaxed structure of Sc2CoW2 from Alexandria via LeMat-Bulk. Energies are from GGA-PBE.

The space group is P4/mbm (No. 127) and the conventional cell measures 6.308, 6.308 and 4.501 Å, with angles of 90.00, 90.00 and 90.00 degrees. The distinct sites, in fractional coordinates, are Sc at (0.159, 0.341, 0.000), Co at (0.000, 0.000, 0.000) and W at (0.141, 0.641, 0.500).

The formation energy is 0.69 eV per atom. The energy above the lowest structure with this stoichiometry is 0.373 eV per formula unit. As for the total magnetization: 0.000 μB per cell. For the final energy, the calculation gives -84.49 eV for the cell shown.


# 2
Here is a relaxed structure of CsKRhO3 from Alexandria via LeMat-Bulk. Energies are from GGA-PBE.

The space group is C2/c (No. 15) and the conventional cell measures 6.333, 11.947 and 6.092 Å, with angles of 90.00, 95.56 and 90.00 degrees. The distinct sites, in fractional coordinates, are Cs at (0.000, 0.235, 0.250), K at (0.000, 0.087, 0.750), Rh at (0.000, 0.468, 0.750), O at (0.000, 0.307, 0.750) and O at (0.200, 0.480, 0.501).

As for the total magnetization: 3.963 μB per cell. For the final energy, the calculation gives -121.33 eV for the cell shown. The value obtained for the uncorrected formation energy is -1.026 eV/atom.


# 3
Here is a relaxed structure of Ce2PmThN4 from Alexandria via LeMat-Bulk. Energies are from GGA-PBE.

The space group is P2/m (No. 10) and the conventional cell measures 6.235, 3.606 and 6.249 Å, with angles of 90.00, 109.40 and 90.00 degrees. The distinct sites, in fractional coordinates, are Ce at (0.000, 0.000, 0.000), Ce at (0.500, 0.500, 0.000), Pm at (0.000, 0.500, 0.500), Th at (0.500, 0.000, 0.500), N at (0.253, 0.500, 0.246) and N at (0.258, 0.000, 0.758).

As for the total magnetization: 0.007 μB per cell. For the final energy, the calculation gives -69.51 eV for the cell shown. The value obtained for the uncorrected formation energy is -1.522 eV/atom.